LiTe2RhW: relaxed, GGA-PBE.

a = 5.1435 Å, b = 5.1435 Å, c = 4.7580 Å
α = 90.00°, β = 90.00°, γ = 90.00°
Space group P4/mmm (No. 123)
Unique sites:
Li 0.0000 0.0000 0.0000 [1 per cell]
Te 0.0000 0.5000 0.5000 [2 per cell]
Rh 0.5000 0.5000 0.0000 [1 per cell]
W 0.0000 0.0000 0.5000 [1 per cell]

Summary:
**Raw formation energy**: 1.0733 eV/atom
**Total magnetic moment**: 0.00 μB/atom
**DOS at the Fermi energy**: 6.1 states/eV per cell